1.
Compound: LaSbPt3
Source: Alexandria
Functional: GGA-PBE
Structure: relaxed

Computed properties:
- M_tot (μB per cell) = 0.00
- symmetry = No. 62
- density of states at the Fermi level (states/eV per cell) = 13.41
- uncorrected formation energy (eV per formula unit) = -3.5
- distance to the lowest polymorph of the same formula (meV per atom) = 0

Lattice parameters (Å, degrees): 4.6366 5.4153 19.9386 90.00 90.00 90.00
Closest atoms and distances in Å follow each position.
Atoms (fractional coordinates):
La (0.2506, 0.7500, 0.6120)  8 Pt 3.03-3.33
La (0.7506, 0.7500, 0.8880)  8 Pt 3.03-3.33
La (0.7494, 0.2500, 0.3880)  8 Pt 3.03-3.33
La (0.2494, 0.2500, 0.1120)  8 Pt 3.03-3.33
Sb (0.7488, 0.7500, 0.1511)  5 Pt 2.59-2.78
Sb (0.2488, 0.7500, 0.3489)  5 Pt 2.59-2.78
Sb (0.2512, 0.2500, 0.8489)  5 Pt 2.59-2.78
Sb (0.7512, 0.2500, 0.6511)  5 Pt 2.59-2.78
Pt (0.7513, 0.2500, 0.7905)  3 Sb 2.59-2.78, 2 Pt 2.83
Pt (0.2513, 0.2500, 0.7095)  3 Sb 2.59-2.78, 2 Pt 2.83
Pt (0.2487, 0.7500, 0.2095)  3 Sb 2.59-2.78, 2 Pt 2.83
Pt (0.7487, 0.7500, 0.2905)  3 Sb 2.59-2.78, 2 Pt 2.83
Pt (0.2500, 0.9957, 0.9603)  1 Sb 2.61, 4 Pt 2.66-2.81
Pt (0.7500, 0.5043, 0.5397)  1 Sb 2.61, 4 Pt 2.66-2.81
Pt (0.7500, 0.4957, 0.0397)  1 Sb 2.61, 4 Pt 2.66-2.81
Pt (0.2500, 0.0043, 0.4603)  1 Sb 2.61, 4 Pt 2.66-2.81
Pt (0.7500, 0.0043, 0.0397)  1 Sb 2.61, 4 Pt 2.66-2.81
Pt (0.2500, 0.4957, 0.4603)  1 Sb 2.61, 4 Pt 2.66-2.81
Pt (0.2500, 0.5043, 0.9603)  1 Sb 2.61, 4 Pt 2.66-2.81
Pt (0.7500, 0.9957, 0.5397)  1 Sb 2.61, 4 Pt 2.66-2.81



2.
Compound: LaSb3Pt
Source: Alexandria
Functional: GGA-PBE
Structure: relaxed

Computed properties:
- M_tot (μB per cell) = 0.00
- symmetry = No. 221
- density of states at the Fermi level (states/eV per cell) = 4.54
- uncorrected formation energy (eV per formula unit) = -1.3

Lattice parameters (Å, degrees): 5.3030 5.3030 5.3030 90.00 90.00 90.00
Closest atoms and distances in Å follow each position.
Atoms (fractional coordinates):
Sb (0.0000, 0.5000, 0.0000)  2 Pt 2.65
Sb (0.0000, 0.0000, 0.5000)  2 Pt 2.65
Sb (0.5000, 0.0000, 0.0000)  2 Pt 2.65
Pt (0.0000, 0.0000, 0.0000)  6 Sb 2.65
La (0.5000, 0.5000, 0.5000)  12 Sb 3.75



3.
Compound: LaSb2Pt
Source: Alexandria
Functional: GGA-PBE
Structure: relaxed

Computed properties:
- M_tot (μB per cell) = 0.00
- symmetry = No. 12
- density of states at the Fermi level (states/eV per cell) = 2.83
- uncorrected formation energy (eV per formula unit) = -2.6

Lattice parameters (Å, degrees): 5.2883 5.2883 6.2584 58.29 58.29 48.20
Closest atoms and distances in Å follow each position.
Atoms (fractional coordinates):
La (0.7500, 0.7500, 0.7500)  6 Sb 3.22-3.36
Pt (0.2500, 0.2500, 0.2500)  4 Sb 2.67
Sb (0.9489, 0.9489, 0.0487)  2 Pt 2.67
Sb (0.5511, 0.5511, 0.4513)  2 Pt 2.67



4.
Compound: La2SbPt
Source: Alexandria
Functional: GGA-PBE
Structure: relaxed

Computed properties:
- M_tot (μB per cell) = 0.00
- symmetry = No. 65
- density of states at the Fermi level (states/eV per cell) = 2.67
- uncorrected formation energy (eV per formula unit) = -4.1

Lattice parameters (Å, degrees): 3.8274 3.8274 7.6200 90.00 90.00 96.59
Closest atoms and distances in Å follow each position.
Atoms (fractional coordinates):
La (0.0000, 0.0000, 0.0203)  4 Pt 3.09-3.35, 2 Sb 3.28
La (0.0000, 0.0000, 0.4797)  4 Pt 3.09-3.35, 2 Sb 3.28
Pt (0.5000, 0.5000, 0.2500)  8 La 3.09-3.35
Sb (0.5000, 0.5000, 0.7500)  8 La 3.28-3.52



5.
Compound: La3SbPt
Source: Alexandria
Functional: GGA-PBE
Structure: relaxed

Computed properties:
- M_tot (μB per cell) = 0.00
- symmetry = No. 62
- density of states at the Fermi level (states/eV per cell) = 18.12
- uncorrected formation energy (eV per formula unit) = -5.1
- distance to the lowest polymorph of the same formula (meV per atom) = 0

Lattice parameters (Å, degrees): 4.5127 8.2627 17.0506 90.00 90.00 90.00
Closest atoms and distances in Å follow each position.
Atoms (fractional coordinates):
La (0.2500, 0.3595, 0.5555)  2 Pt 2.98
La (0.7500, 0.8409, 0.2096)  1 Pt 3.01, 4 Sb 3.21-3.32
La (0.7500, 0.4871, 0.9026)  3 Pt 3.06-3.12
La (0.7500, 0.9871, 0.5974)  3 Pt 3.06-3.12
La (0.7500, 0.6405, 0.4445)  2 Pt 2.98
La (0.2500, 0.0129, 0.4026)  3 Pt 3.06-3.12
La (0.2500, 0.8595, 0.9445)  2 Pt 2.98
La (0.7500, 0.3409, 0.2904)  1 Pt 3.01, 4 Sb 3.21-3.32
La (0.2500, 0.6591, 0.7096)  1 Pt 3.01, 4 Sb 3.21-3.32
La (0.2500, 0.1591, 0.7904)  1 Pt 3.01, 4 Sb 3.21-3.32
La (0.7500, 0.1405, 0.0555)  2 Pt 2.98
La (0.2500, 0.5129, 0.0974)  3 Pt 3.06-3.12
Sb (0.7500, 0.8656, 0.7985)  7 La 3.21-3.57
Sb (0.2500, 0.1344, 0.2015)  7 La 3.21-3.57
Sb (0.7500, 0.3656, 0.7015)  7 La 3.21-3.57
Sb (0.2500, 0.6344, 0.2985)  7 La 3.21-3.57
Pt (0.2500, 0.2660, 0.9590)  6 La 2.98-3.12
Pt (0.2500, 0.7660, 0.5410)  6 La 2.98-3.12
Pt (0.7500, 0.2340, 0.4590)  6 La 2.98-3.12
Pt (0.7500, 0.7340, 0.0410)  6 La 2.98-3.12



6.
Compound: LaSb4Pt
Source: Alexandria
Functional: GGA-PBE
Structure: relaxed

Computed properties:
- M_tot (μB per cell) = 0.00
- symmetry = No. 216
- density of states at the Fermi level (states/eV per cell) = 3.09
- uncorrected formation energy (eV per formula unit) = -0.2

Lattice parameters (Å, degrees): 6.1337 6.1337 6.1337 60.00 60.00 60.00
Closest atoms and distances in Å follow each position.
Atoms (fractional coordinates):
La (0.7500, 0.7500, 0.7500)  12 Sb 3.60, 4 Pt 3.76
Sb (0.8790, 0.3737, 0.3737)  6 Sb 3.03-3.10
Sb (0.3737, 0.3737, 0.8790)  6 Sb 3.03-3.10
Sb (0.3737, 0.8790, 0.3737)  6 Sb 3.03-3.10
Sb (0.3737, 0.3737, 0.3737)  6 Sb 3.03-3.10
Pt (0.0000, 0.0000, 0.0000)  12 Sb 3.59, 4 La 3.76



7.
Compound: La2SbPt
Source: Alexandria
Functional: GGA-PBE
Structure: relaxed

Computed properties:
- M_tot (μB per cell) = 0.00
- symmetry = No. 12
- density of states at the Fermi level (states/eV per cell) = 2.93
- uncorrected formation energy (eV per formula unit) = -4.4

Lattice parameters (Å, degrees): 4.4120 4.4120 7.8019 73.64 73.64 59.94
Closest atoms and distances in Å follow each position.
Atoms (fractional coordinates):
La (0.9925, 0.9925, 0.0231)  3 Pt 3.05, 3 Sb 3.25
La (0.5075, 0.5075, 0.4769)  3 Pt 3.05, 3 Sb 3.25
Pt (0.2500, 0.2500, 0.2500)  6 La 3.05
Sb (0.7500, 0.7500, 0.7500)  6 La 3.25



8.
Compound: La2Sb2Pt
Source: Alexandria
Functional: GGA-PBE
Structure: relaxed

Computed properties:
- M_tot (μB per cell) = 0.00
- symmetry = No. 127
- density of states at the Fermi level (states/eV per cell) = 2.95
- uncorrected formation energy (eV per formula unit) = -4.4

Lattice parameters (Å, degrees): 7.3992 7.3992 4.9431 90.00 90.00 90.00
Closest atoms and distances in Å follow each position.
Atoms (fractional coordinates):
Sb (0.3554, 0.8554, 0.0000)  2 Pt 2.84, 1 Sb 3.03, 2 La 3.15
Sb (0.8554, 0.6446, 0.0000)  2 Pt 2.84, 1 Sb 3.03, 2 La 3.15
Sb (0.6446, 0.1446, 0.0000)  2 Pt 2.84, 1 Sb 3.03, 2 La 3.15
Sb (0.1446, 0.3554, 0.0000)  2 Pt 2.84, 1 Sb 3.03, 2 La 3.15
Pt (0.0000, 0.0000, 0.0000)  4 Sb 2.84
Pt (0.5000, 0.5000, 0.0000)  4 Sb 2.84
La (0.1682, 0.6682, 0.5000)  6 Sb 3.15-3.39, 1 La 3.52
La (0.6682, 0.8318, 0.5000)  6 Sb 3.15-3.39, 1 La 3.52
La (0.8318, 0.3318, 0.5000)  6 Sb 3.15-3.39, 1 La 3.52
La (0.3318, 0.1682, 0.5000)  6 Sb 3.15-3.39, 1 La 3.52